This record from the Alexandria database describes crystalline ScMnAgF6 at its relaxed geometry. The functional is PBE+U.

abc: 5.6601 5.6601 10.1163
angles: 90.00 90.00 120.00
Fractional positions:
Sc1 0.3333 0.6667 0.2500
Sc2 0.6667 0.3333 0.7500
Mn1 0.3333 0.6667 0.7500
Mn2 0.6667 0.3333 0.2500
Ag1 0.0000 0.0000 0.0000
Ag2 0.0000 0.0000 0.5000
F1 0.0138 0.3768 0.1422
F2 0.0138 0.6370 0.3578
F3 0.3630 0.3768 0.3578
F4 0.3630 0.9862 0.1422
F5 0.3768 0.0138 0.6422
F6 0.3768 0.3630 0.8578
F7 0.6232 0.6370 0.1422
F8 0.6232 0.9862 0.3578
F9 0.6370 0.0138 0.8578
F10 0.6370 0.6232 0.6422
F11 0.9862 0.3630 0.6422
F12 0.9862 0.6232 0.8578

Properties
- total magnetic moment (μB per formula unit) = 4.92

---

This record from the Alexandria database describes crystalline CoB4O7 at its relaxed geometry. The functional is PBE+U.

abc: 6.3697 6.3697 5.2166
angles: 90.00 90.00 61.72
Fractional positions:
Co1 0.2415 0.7585 0.7500
Co2 0.7585 0.2415 0.2500
B1 0.0753 0.6903 0.2500
B2 0.2970 0.2970 0.0000
B3 0.2970 0.2970 0.5000
B4 0.3097 0.9247 0.2500
B5 0.6903 0.0753 0.7500
B6 0.7030 0.7030 0.0000
B7 0.7030 0.7030 0.5000
B8 0.9247 0.3097 0.7500
O1 0.0793 0.9207 0.2500
O2 0.1891 0.5542 0.0228
O3 0.1891 0.5542 0.4772
O4 0.1952 0.2453 0.7500
O5 0.2453 0.1952 0.2500
O6 0.4458 0.8109 0.0228
O7 0.4458 0.8109 0.4772
O8 0.5542 0.1891 0.5228
O9 0.5542 0.1891 0.9772
O10 0.7547 0.8048 0.7500
O11 0.8048 0.7547 0.2500
O12 0.8109 0.4458 0.5228
O13 0.8109 0.4458 0.9772
O14 0.9207 0.0793 0.7500

Properties
- total magnetic moment (μB per formula unit) = 3.01

---

Number 1: raw total energy -5.9464 eV/atom. Number 2: raw total energy -7.7049 eV/atom.